Here is a relaxed Tm6PbAu5 crystal from Alexandria. Energies are from PBE.

## Properties
DOS at the Fermi energy (states/eV/f.u.): 5.5
V (Å³ per atom): 23.2
Total magnetization (μB per cell): 0.0
Formation energy (meV/atom): -797
Density (g cm⁻³): 13.130

Cell lengths 5.0723, 15.2138, 7.2292 Å; angles 90.00, 90.00, 90.00 degrees
Last column: nearest neighbours and their distance in Å.
Space group Cmmm (No. 65)
Unique sites:
Tm 0.0000 0.0000 0.2369  6 Au 3.05-3.12, 2 Pb 3.17
Tm 0.0000 0.3284 0.2440  7 Au 3.03-3.15, 1 Pb 3.20
Pb 0.0000 0.5000 0.5000  8 Tm 3.17-3.20, 4 Au 3.55
Au 0.0000 0.1629 0.5000  8 Tm 3.12-3.14
Au 0.0000 0.1662 0.0000  8 Tm 3.03-3.09
Au 0.0000 0.5000 0.0000  8 Tm 3.06-3.15


Here is a relaxed Mn2FeAu crystal from Alexandria. Energies are from PBE.

## Properties
Polymorph energy (0 for the lowest one) (meV per atom): 60
DOS at the Fermi energy (states/eV/f.u.): 3.6
V (Å³ per atom): 14.6
Total magnetization (μB per cell): 19.9
Formation energy (meV/atom): 200
Density (g cm⁻³): 10.296

Cell lengths 5.6750, 5.6810, 3.6286 Å; angles 90.00, 90.11, 90.00 degrees
Last column: nearest neighbours and their distance in Å.
Space group C2/m (No. 12)
Unique sites:
Mn 0.2500 0.2500 0.0000  4 Fe 2.70-2.71, 4 Au 2.70-2.71, 4 Mn 2.84
Fe 0.0000 0.0000 0.5000  8 Mn 2.70-2.71, 4 Au 2.84
Au 0.0000 0.5000 0.5000  8 Mn 2.70-2.71, 4 Fe 2.84


Here is a relaxed Hf3NiBi crystal from Alexandria. Energies are from PBE.

## Properties
Polymorph energy (0 for the lowest one) (meV per atom): 0
DOS at the Fermi energy (states/eV/f.u.): 4.4
V (Å³ per atom): 21.3
Total magnetization (μB per cell): 0.0
Formation energy (meV/atom): -262
Density (g cm⁻³): 12.537

Cell lengths 7.5785, 3.9592, 7.6622 Å; angles 90.00, 112.27, 90.00 degrees
Last column: nearest neighbours and their distance in Å.
Space group P2_1/m (No. 11)
Unique sites:
Hf 0.0104 0.2500 0.1942  3 Ni 2.79-2.92, 2 Hf 3.09
Hf 0.2972 0.7500 0.6049  3 Ni 2.57-2.67
Hf 0.3283 0.2500 0.9336  1 Ni 2.56
Ni 0.0783 0.2500 0.5960  2 Ni 2.48, 4 Hf 2.56-2.67
Bi 0.3430 0.7500 0.2296  9 Hf 2.98-3.34


Here is a relaxed LiHf2Ag2 crystal from Alexandria. Energies are from PBE.

## Properties
Polymorph energy (0 for the lowest one) (meV per atom): 27
DOS at the Fermi energy (states/eV/f.u.): 3.2
V (Å³ per atom): 21.1
Total magnetization (μB per cell): 0.0
Formation energy (meV/atom): 218
Density (g cm⁻³): 9.103

Cell lengths 8.5337, 8.5337, 2.9038 Å; angles 90.00, 90.00, 90.00 degrees
Last column: nearest neighbours and their distance in Å.
Space group P4/mbm (No. 127)
Unique sites:
Li 0.0000 0.0000 0.0000  2 Li 2.90
Hf 0.1263 0.3737 0.0000  6 Ag 2.85-2.94, 3 Hf 2.90-3.05
Ag 0.1705 0.6705 0.5000  6 Hf 2.85-2.94, 2 Ag 2.90


Here is a relaxed CaCr2MoPt crystal from Alexandria. Energies are from PBE.

## Properties
DOS at the Fermi energy (states/eV/f.u.): 3.6
V (Å³ per atom): 21.4
Total magnetization (μB per cell): 4.5
Formation energy (meV/atom): 1983
Density (g cm⁻³): 6.755

Cell lengths 4.7143, 4.7143, 4.8126 Å; angles 90.00, 90.00, 90.00 degrees
Last column: nearest neighbours and their distance in Å.
Space group P4/mmm (No. 123)
Unique sites:
Ca 0.0000 0.0000 0.0000  4 Cr 2.36, 2 Pt 2.41
Cr 0.0000 0.5000 0.0000  2 Ca 2.36
Mo 0.5000 0.5000 0.5000  4 Pt 3.33, 8 Cr 3.37
Pt 0.0000 0.0000 0.5000  2 Ca 2.41


Here is a relaxed Sr3DyBe2O6 crystal from Alexandria. Energies are from PBE.

## Properties
Raw formation energy (eV/atom): -2.6938
DOS at the Fermi energy (states/eV/f.u.): 1.5
V (Å³ per atom): 15.8
Total magnetization (μB per cell): 0.0
Density (g cm⁻³): 4.711

Cell lengths 5.6491, 5.6491, 6.8787 Å; angles 90.00, 90.00, 120.00 degrees
Last column: nearest neighbours and their distance in Å.
Space group P-3m1 (No. 164)
Unique sites:
Sr 0.0000 0.0000 0.0000  6 O 2.65
Sr 0.3333 0.6667 0.6906  9 O 2.83-3.14, 1 Be 2.96
Dy 0.0000 0.0000 0.5000  6 O 2.24
Be 0.3333 0.6667 0.2601  3 O 1.55
O 0.1766 0.3532 0.2919  1 Be 1.55


Here is a relaxed TlGe2Mo2 crystal from Alexandria. Energies are from PBE.

## Properties
Polymorph energy (0 for the lowest one) (meV per atom): 208
DOS at the Fermi energy (states/eV/f.u.): 3.9
V (Å³ per atom): 17.7
Total magnetization (μB per cell): 0.0
Formation energy (meV/atom): 404
Density (g cm⁻³): 10.159

Cell lengths 7.6615, 7.6615, 3.0159 Å; angles 90.00, 90.00, 90.00 degrees
Last column: nearest neighbours and their distance in Å.
Space group P4/mbm (No. 127)
Unique sites:
Tl 0.0000 0.0000 0.0000  4 Ge 2.97, 2 Tl 3.02, 8 Mo 3.28
Ge 0.1380 0.3620 0.0000  6 Mo 2.68-2.74, 2 Tl 2.97, 1 Ge 2.99
Mo 0.1513 0.6513 0.5000  6 Ge 2.68-2.74


Here is a relaxed Ho4MgTl2 crystal from Alexandria. Energies are from PBE.

## Properties
Polymorph energy (0 for the lowest one) (meV per atom): 0
DOS at the Fermi energy (states/eV/f.u.): 5.8
V (Å³ per atom): 28.6
Total magnetization (μB per cell): 0.0
Formation energy (meV/atom): -154
Density (g cm⁻³): 9.054

Cell lengths 5.2481, 5.2481, 25.2075 Å; angles 90.00, 90.00, 120.00 degrees
Last column: nearest neighbours and their distance in Å.
Space group R-3m (No. 166, hexagonal axes)
Unique sites:
Ho 0.0000 0.0000 0.1156  4 Tl 3.11-3.26, 3 Mg 3.29
Ho 0.0000 0.0000 0.3694  4 Tl 3.13-3.30, 1 Mg 3.29
Mg 0.0000 0.0000 0.5000  8 Ho 3.29, 6 Tl 3.62
Tl 0.0000 0.0000 0.2450  8 Ho 3.11-3.30


Here is a relaxed YHfGa2 crystal from Alexandria. Energies are from PBE.

## Properties
Polymorph energy (0 for the lowest one) (meV per atom): 126
DOS at the Fermi energy (states/eV/f.u.): 3.0
V (Å³ per atom): 22.2
Total magnetization (μB per cell): 0.0
Formation energy (meV/atom): -298
Density (g cm⁻³): 7.603

Cell lengths 3.4986, 3.4986, 25.1458 Å; angles 90.00, 90.00, 120.00 degrees
Last column: nearest neighbours and their distance in Å.
Space group R-3m (No. 166, hexagonal axes)
Unique sites:
Y 0.0000 0.0000 0.0000  6 Ga 2.99
Hf 0.0000 0.0000 0.5000  6 Ga 2.83
Ga 0.0000 0.0000 0.2456  3 Hf 2.83, 3 Y 2.99


Here is a relaxed K3LiRe2O9 crystal from Alexandria. Energies are from PBE.

## Properties
Raw formation energy (eV/atom): -1.7799
V (Å³ per atom): 13.1
Total magnetization (μB per cell): 0.0
Density (g cm⁻³): 5.416

Cell lengths 5.6689, 5.6689, 7.0571 Å; angles 90.00, 90.00, 120.00 degrees
Last column: nearest neighbours and their distance in Å.
Space group P-3m1 (No. 164)
Unique sites:
K 0.0000 0.0000 0.0000  12 O 2.80-2.83
K 0.3333 0.6667 0.6648  12 O 2.84-2.94
Li 0.0000 0.0000 0.5000  6 O 2.19
Re 0.3333 0.6667 0.1758  3 O 1.80
O 0.0000 0.5000 0.0000  2 Re 2.05
O 0.1771 0.3542 0.3102  1 Re 1.80


Here is a relaxed ZnCdGaAg3 crystal from Alexandria. Energies are from PBE.

## Properties
DOS at the Fermi energy (states/eV/f.u.): 1.9
V (Å³ per atom): 18.3
Total magnetization (μB per cell): 0.0
Formation energy (meV/atom): -9
Density (g cm⁻³): 8.654

Cell lengths 8.8470, 2.9713, 9.2285 Å; angles 90.00, 115.38, 90.00 degrees
Last column: nearest neighbours and their distance in Å.
Space group P2_1/m (No. 11)
Unique sites:
Zn 0.0488 0.2500 0.2683  8 Ag 2.78-2.94, 2 Ga 2.89, 2 Zn 2.97
Cd 0.4860 0.2500 0.1871  6 Ag 2.93-3.04, 2 Cd 2.97, 2 Ga 3.07
Ga 0.3594 0.7500 0.4047  2 Ag 2.68-2.81, 4 Ga 2.78-2.97, 2 Zn 2.89
Ag 0.1569 0.7500 0.5524  1 Ga 2.68, 3 Zn 2.80-2.94, 6 Ag 2.89-2.97
Ag 0.1578 0.7500 0.0728  1 Ga 2.81, 3 Zn 2.81-2.88, 6 Ag 2.92-2.97, 2 Cd 3.02
Ag 0.2448 0.2500 0.8464  2 Zn 2.78, 6 Ag 2.89-2.97, 3 Cd 2.93-2.95


Here is a relaxed Y2Zn2Os crystal from Alexandria. Energies are from PBE.

## Properties
Polymorph energy (0 for the lowest one) (meV per atom): 0
DOS at the Fermi energy (states/eV/f.u.): 2.2
V (Å³ per atom): 21.8
Total magnetization (μB per cell): 0.0
Formation energy (meV/atom): -101
Density (g cm⁻³): 7.605

Cell lengths 3.4730, 3.4730, 18.0606 Å; angles 90.00, 90.00, 90.00 degrees
Last column: nearest neighbours and their distance in Å.
Space group I4/mmm (No. 139)
Unique sites:
Y 0.0000 0.0000 0.0914  4 Os 2.96, 1 Y 3.30
Zn 0.0000 0.5000 0.2500  4 Zn 2.46
Os 0.0000 0.0000 0.5000  8 Y 2.96